Entry from Alexandria via LeMat-Bulk: a relaxed structure of YErInPb (PBE).

- N(E_F): 15.04 states/eV per cell
- Distance to the lowest polymorph of the same formula: 4.19 kJ per mole of atoms
- E_form: -0.400 eV/atom
- Total energy: -4.77 eV/atom
- V: 27.50 A^3/atom

```
data_YErInPb
_space_group_name_H-M_alt 'F -4 3 m'
_space_group_IT_number 216
_space_group_name_Hall 'F -4 2 3'
_cell_length_a 7.6058
_cell_length_b 7.6058
_cell_length_c 7.6058
_cell_angle_alpha 90.00
_cell_angle_beta 90.00
_cell_angle_gamma 90.00
loop_
_atom_site_label
_atom_site_fract_x
_atom_site_fract_y
_atom_site_fract_z
Y1 0.0000 0.0000 0.0000
Er1 0.0000 0.0000 0.5000
In1 0.2500 0.2500 0.7500
Pb1 0.2500 0.2500 0.2500
```

---

Entry from Alexandria via LeMat-Bulk: a relaxed structure of KVFe2 (PBE).

- N(E_F): 14.89 states/eV per cell
- Distance to the lowest polymorph of the same formula: 6.34 kJ per mole of atoms
- E_form: 1.276 eV/atom
- Total energy: -5.51 eV/atom
- V: 17.57 A^3/atom

```
data_KVFe2
_space_group_name_H-M_alt 'F m -3 m'
_space_group_IT_number 225
_space_group_name_Hall '-F 4 2 3'
_cell_length_a 6.5510
_cell_length_b 6.5510
_cell_length_c 6.5510
_cell_angle_alpha 90.00
_cell_angle_beta 90.00
_cell_angle_gamma 90.00
loop_
_atom_site_label
_atom_site_fract_x
_atom_site_fract_y
_atom_site_fract_z
K1 0.0000 0.0000 0.0000
V1 0.0000 0.0000 0.5000
Fe1 0.2500 0.2500 0.2500
```

---

Entry from Alexandria via LeMat-Bulk: a relaxed structure of Cu2Bi5Pd12 (PBE).

- N(E_F): 17.14 states/eV per cell
- E_form: -0.101 eV/atom
- Total energy: -4.83 eV/atom
- V: 19.90 A^3/atom

```
data_Cu2Bi5Pd12
_space_group_name_H-M_alt 'C 1 2/m 1'
_space_group_IT_number 12
_cell_length_a 15.6449
_cell_length_b 5.5794
_cell_length_c 9.8820
_cell_angle_alpha 90.00
_cell_angle_beta 118.78
_cell_angle_gamma 90.00
loop_
_space_group_symop_operation_xyz
'x,y,z'
'-x,-y,-z'
'-x,y,-z'
'x,-y,z'
'x+1/2,y+1/2,z'
'-x+1/2,-y+1/2,-z'
'-x+1/2,y+1/2,-z'
'x+1/2,-y+1/2,z'
loop_
_atom_site_label
_atom_site_fract_x
_atom_site_fract_y
_atom_site_fract_z
Cu1 0.0000 0.2454 0.0000
Bi1 0.0000 0.0000 0.5000
Bi2 0.1689 0.5000 0.5161
Bi3 0.1809 0.5000 0.0278
Pd1 0.0011 0.5000 0.2319
Pd2 0.0044 0.0000 0.7813
Pd3 0.1528 0.2504 0.7493
Pd4 0.1665 0.2464 0.2635
```

---

Entry from Alexandria via LeMat-Bulk: a relaxed structure of Y2MgNi2 (PBE).

- N(E_F): 6.38 states/eV per cell
- E_form: -0.177 eV/atom
- Total energy: -5.39 eV/atom
- V: 21.65 A^3/atom

```
data_Y2MgNi2
_space_group_name_H-M_alt 'I 4/m m m'
_space_group_IT_number 139
_space_group_name_Hall '-I 4 2'
_cell_length_a 5.2744
_cell_length_b 5.2744
_cell_length_c 7.7816
_cell_angle_alpha 90.00
_cell_angle_beta 90.00
_cell_angle_gamma 90.00
loop_
_atom_site_label
_atom_site_fract_x
_atom_site_fract_y
_atom_site_fract_z
Y1 0.0000 0.5000 0.2500
Mg1 0.0000 0.0000 0.0000
Ni1 0.0000 0.0000 0.3516
```

---

Entry from Alexandria via LeMat-Bulk: a relaxed structure of K2Rb3UO6 (PBE).

- N(E_F): 25.71 states/eV per cell
- Energy relative to the elements, uncorrected: -24.22 eV per formula unit
- Total energy: -5.86 eV/atom
- V: 20.26 A^3/atom

```
data_K2Rb3UO6
_space_group_name_H-M_alt 'C 1 2/m 1'
_space_group_IT_number 12
_cell_length_a 6.6796
_cell_length_b 11.4689
_cell_length_c 6.7309
_cell_angle_alpha 90.00
_cell_angle_beta 109.46
_cell_angle_gamma 90.00
loop_
_space_group_symop_operation_xyz
'x,y,z'
'-x,-y,-z'
'-x,y,-z'
'x,-y,z'
'x+1/2,y+1/2,z'
'-x+1/2,-y+1/2,-z'
'-x+1/2,y+1/2,-z'
'x+1/2,-y+1/2,z'
loop_
_atom_site_label
_atom_site_fract_x
_atom_site_fract_y
_atom_site_fract_z
K1 0.0000 0.1661 0.0000
Rb1 0.0000 0.0000 0.5000
Rb2 0.0000 0.3289 0.5000
U1 0.0000 0.5000 0.0000
O1 0.1886 0.5000 0.8086
O2 0.1920 0.3717 0.1920
```

---

Entry from Alexandria via LeMat-Bulk: a relaxed structure of Na2Zn2TcO6 (PBE).

- N(E_F): 5.69 states/eV per cell
- Energy relative to the elements, uncorrected: -15.30 eV per formula unit
- Total energy: -5.51 eV/atom
- V: 12.31 A^3/atom

```
data_Na2Zn2TcO6
_space_group_name_H-M_alt 'C 1 2/m 1'
_space_group_IT_number 12
_cell_length_a 5.4541
_cell_length_b 9.0601
_cell_length_c 5.8283
_cell_angle_alpha 90.00
_cell_angle_beta 109.94
_cell_angle_gamma 90.00
loop_
_space_group_symop_operation_xyz
'x,y,z'
'-x,-y,-z'
'-x,y,-z'
'x,-y,z'
'x+1/2,y+1/2,z'
'-x+1/2,-y+1/2,-z'
'-x+1/2,y+1/2,-z'
'x+1/2,-y+1/2,z'
loop_
_atom_site_label
_atom_site_fract_x
_atom_site_fract_y
_atom_site_fract_z
Na1 0.0000 0.1760 0.0000
Zn1 0.0000 0.3376 0.5000
Tc1 0.0000 0.0000 0.5000
O1 0.2167 0.1562 0.6986
O2 0.2335 0.0000 0.3076
```